# Cs2RbAg (PBE, optimized geometry)
# - formation energy from the elements (meV per atom) = 32
# - DOS(E_F) (states/eV per cell) = 2.7
data_Cs2RbAg
_symmetry_space_group_name_H-M 'P 1'
_symmetry_Int_Tables_number 1
_cell_length_a 4.712
_cell_length_b 4.712
_cell_length_c 12.671
_cell_angle_alpha 90.00
_cell_angle_beta 90.00
_cell_angle_gamma 90.00
loop_
_symmetry_equiv_pos_as_xyz
'x,y,z'
loop_
_atom_site_label
_atom_site_fract_x
_atom_site_fract_y
_atom_site_fract_z
Rb1 0.500 0.500 0.500
Ag1 0.500 0.500 0.000
Cs1 0.000 0.000 0.169
Cs2 0.000 0.000 0.831